Compound: In5Ga2Hg2
Source: the Alexandria database
Functional: GGA-PBE
Structure: optimized geometry

Results
formation enthalpy at 0 K = 0.032 eV per atom
ρ = 8.098 g/cm³
DOS(E_F) = 4.58 states/eV per cell
calculated volume = 457.1 Å³ per cell

Cell lengths 5.758, 9.634, 9.514 Å; angles 119.82, 92.39, 86.93 degrees
Fractional positions:
In: 0.153 0.871 0.188
In: 0.460 0.093 0.875
In: 0.667 0.735 0.213
In: 0.934 0.283 0.897
In: 0.802 0.674 0.574
In: 0.124 0.239 0.241
In: 0.297 0.528 0.609
In: 0.599 0.405 0.230
In: 0.302 0.818 0.520
In: 0.778 0.314 0.545
Ga: 0.531 0.788 0.906
Ga: 0.627 0.063 0.202
Ga: 0.926 0.587 0.875
Ga: 0.108 0.550 0.220
Hg: 0.000 0.942 0.900
Hg: 0.415 0.456 0.908
Hg: 0.809 0.997 0.558
Hg: 0.295 0.158 0.540

Compound: In8Ga3Hg3
Source: the Alexandria database
Functional: GGA-PBE
Structure: optimized geometry

Results
formation enthalpy at 0 K = 0.031 eV per atom
ρ = 8.156 g/cm³
DOS(E_F) = 4.03 states/eV per cell
calculated volume = 352.1 Å³ per cell

Cell lengths 5.627, 8.468, 8.909 Å; angles 61.37, 78.97, 98.11 degrees
Fractional positions:
In: 0.643 0.124 0.615
In: 0.357 0.876 0.385
In: 0.632 0.653 0.046
In: 0.368 0.347 0.954
In: 0.780 0.785 0.597
In: 0.220 0.215 0.403
In: 0.945 0.405 0.733
In: 0.055 0.595 0.267
Ga: 0.500 0.000 0.000
Ga: 0.926 0.959 0.177
Ga: 0.074 0.041 0.823
Hg: 0.500 0.500 0.500
Hg: 0.800 0.281 0.177
Hg: 0.200 0.719 0.823

Compound: In2GaHg
Source: the Alexandria database
Functional: GGA-PBE
Structure: optimized geometry

Results
formation enthalpy at 0 K = 0.037 eV per atom
ρ = 8.446 g/cm³
DOS(E_F) = 0.79 states/eV per cell
calculated volume = 98.3 Å³ per cell

Cell lengths 4.594, 4.625, 4.625 Å; angles 90.00, 90.00, 90.00 degrees
Fractional positions:
Hg: 0.500 0.000 0.000
Ga: 0.500 0.500 0.500
In: 0.000 0.000 0.500
In: 0.000 0.500 0.000

Compound: In5Ga5Hg2
Source: the Alexandria database
Functional: GGA-PBE
Structure: optimized geometry

Results
formation enthalpy at 0 K = 0.028 eV per atom
ρ = 7.670 g/cm³
DOS(E_F) = 2.71 states/eV per cell
calculated volume = 286.6 Å³ per cell

Cell lengths 3.313, 9.382, 10.740 Å; angles 120.11, 84.11, 89.71 degrees
Fractional positions:
In: 0.500 0.000 0.500
In: 0.341 0.325 0.076
In: 0.875 0.637 0.438
In: 0.125 0.363 0.562
In: 0.659 0.675 0.924
Ga: 0.737 0.283 0.296
Ga: 0.721 0.982 0.761
Ga: 0.279 0.018 0.239
Ga: 0.263 0.717 0.704
Ga: 0.000 0.000 0.000
Hg: 0.828 0.308 0.809
Hg: 0.172 0.692 0.191

Compound: In2GaHg4
Source: the Alexandria database
Functional: GGA-PBE
Structure: optimized geometry

Results
formation enthalpy at 0 K = 0.160 eV per atom
ρ = 8.495 g/cm³
DOS(E_F) = 3.12 states/eV per cell
calculated volume = 215.4 Å³ per cell

Cell lengths 5.213, 5.213, 8.739 Å; angles 72.65, 72.65, 90.00 degrees
Fractional positions:
Hg: 0.630 0.630 0.740
Hg: 0.370 0.370 0.260
Hg: 0.000 0.500 0.000
Hg: 0.500 0.000 0.000
Ga: 0.000 0.000 0.000
In: 0.817 0.817 0.365
In: 0.183 0.183 0.635

Compound: In5Ga2Hg12
Source: the Alexandria database
Functional: GGA-PBE
Structure: optimized geometry

Results
formation enthalpy at 0 K = 0.036 eV per atom
ρ = 10.430 g/cm³
DOS(E_F) = 4.34 states/eV per cell
calculated volume = 496.8 Å³ per cell

Cell lengths 8.352, 7.660, 11.696 Å; angles 131.07, 110.92, 90.00 degrees
Fractional positions:
In: 0.693 0.403 0.385
In: 0.755 0.065 0.509
In: 0.000 0.500 0.000
In: 0.245 0.935 0.491
In: 0.307 0.597 0.615
Ga: 0.313 0.000 0.000
Ga: 0.687 0.000 0.000
Hg: 0.905 0.739 0.810
Hg: 0.965 0.090 0.332
Hg: 0.367 0.090 0.332
Hg: 0.836 0.567 0.235
Hg: 0.399 0.567 0.235
Hg: 0.451 0.226 0.902
Hg: 0.549 0.774 0.098
Hg: 0.164 0.433 0.765
Hg: 0.601 0.433 0.765
Hg: 0.035 0.910 0.668
Hg: 0.633 0.910 0.668
Hg: 0.095 0.261 0.190